No. 1
Here is a relaxed GdTc5 crystal from Alexandria via LeMat-Bulk. Energies are from PBE.

Unit cell a=4.6797 b=13.9455 c=3.0329 alpha=90.00 beta=90.00 gamma=90.00
Space group Cmmm (No. 65)
Inequivalent atoms, fractional coordinates:
Gd1 0.0000 0.0000 0.0000
Tc1 0.0000 0.1921 0.5000
Tc2 0.0000 0.3443 0.0000
Tc3 0.0000 0.5000 0.5000

Values from the calculation:
Its energy relative to the elements is 278.2 meV per atom. The value obtained for the magnetization is 1.145 μB/atom.

---

No. 2
Here is a relaxed GdTc3 crystal from Alexandria via LeMat-Bulk. Energies are from PBE.

Unit cell a=6.4642 b=6.4642 c=6.4642 alpha=90.00 beta=90.00 gamma=90.00
Space group Fm-3m (No. 225)
Inequivalent atoms, fractional coordinates:
Gd1 0.0000 0.0000 0.0000
Tc1 0.0000 0.0000 0.5000
Tc2 0.2500 0.2500 0.2500

Values from the calculation:
Its energy relative to the elements is 223.3 meV per atom. The value obtained for the magnetization is 1.694 μB/atom.

---

No. 3
Here is a relaxed Gd3Tc crystal from Alexandria via LeMat-Bulk. Energies are from PBE.

Unit cell a=4.0981 b=4.8171 c=5.1916 alpha=90.00 beta=90.00 gamma=90.00
Space group Pmm2 (No. 25)
Inequivalent atoms, fractional coordinates:
Gd1 0.0000 0.0000 0.0000
Gd2 0.0000 0.5000 0.4771
Gd3 0.5000 0.5000 0.9366
Tc1 0.5000 0.0000 0.5600

Values from the calculation:
Its energy relative to the elements is 246.6 meV per atom. The value obtained for the magnetization is 1.793 μB/atom.

---

No. 4
Here is a relaxed Gd5Tc crystal from Alexandria via LeMat-Bulk. Energies are from PBE.

Unit cell a=3.8929 b=16.1538 c=5.5148 alpha=90.00 beta=90.00 gamma=90.00
Space group Cmmm (No. 65)
Inequivalent atoms, fractional coordinates:
Gd1 0.0000 0.0000 0.0000
Gd2 0.0000 0.1283 0.5000
Gd3 0.0000 0.3349 0.0000
Tc1 0.0000 0.5000 0.5000

Values from the calculation:
Its energy relative to the elements is 133.1 meV per atom. The value obtained for the magnetization is 1.115 μB/atom.

---

No. 5
Here is a relaxed Gd2ThTc crystal from Alexandria via LeMat-Bulk. Energies are from PBE.

Unit cell a=3.4907 b=3.4907 c=8.7229 alpha=90.00 beta=90.00 gamma=90.00
Space group P4/mmm (No. 123)
Inequivalent atoms, fractional coordinates:
Gd1 0.0000 0.0000 0.1916
Th1 0.5000 0.5000 0.5000
Tc1 0.5000 0.5000 0.0000

Values from the calculation:
Its energy relative to the elements is 110.5 meV per atom. The value obtained for the magnetization is 3.534 μB/atom. As for the energy above the most stable polymorph in this dataset: 0 meV/atom.

---

No. 6
Here is a relaxed Gd2ThTc crystal from Alexandria via LeMat-Bulk. Energies are from PBE.

Unit cell a=5.3996 b=5.3996 c=12.0194 alpha=90.00 beta=90.00 gamma=120.00
Space group R-3m (No. 166, hexagonal axes)
Inequivalent atoms, fractional coordinates:
Gd1 0.0000 0.0000 0.2382
Th1 0.0000 0.0000 0.5000
Tc1 0.0000 0.0000 0.0000

Values from the calculation:
Its energy relative to the elements is 348.3 meV per atom. The value obtained for the magnetization is 3.773 μB/atom. As for the energy above the most stable polymorph in this dataset: 238 meV/atom.

---

No. 7
Here is a relaxed GdThTlTc crystal from Alexandria via LeMat-Bulk. Energies are from PBE.

Unit cell a=7.3839 b=7.3839 c=7.3839 alpha=90.00 beta=90.00 gamma=90.00
Space group F-43m (No. 216)
Inequivalent atoms, fractional coordinates:
Gd1 0.0000 0.0000 0.0000
Th1 0.0000 0.0000 0.5000
Tl1 0.2500 0.2500 0.7500
Tc1 0.2500 0.2500 0.2500

Values from the calculation:
Its energy relative to the elements is 10.4 meV per atom. The value obtained for the magnetization is 1.739 μB/atom.

---

No. 8
Here is a relaxed GdTmThTc crystal from Alexandria via LeMat-Bulk. Energies are from PBE.

Unit cell a=7.3814 b=7.3814 c=7.3814 alpha=90.00 beta=90.00 gamma=90.00
Space group F-43m (No. 216)
Inequivalent atoms, fractional coordinates:
Gd1 0.0000 0.0000 0.0000
Tm1 0.2500 0.2500 0.2500
Th1 0.0000 0.0000 0.5000
Tc1 0.2500 0.2500 0.7500

Values from the calculation:
Its energy relative to the elements is 187.7 meV per atom. The value obtained for the magnetization is 1.845 μB/atom.